(1)
{
  "formula": "KAgOF2",
  "functional": "PBE",
  "state": "relaxed",
  "crystal_system": "tetragonal",
  "polymorph_energy_mev_per_atom": 874,
  "lattice": [[4.808, 0.000, 0.000], [0.000, 4.808, 0.000], [0.000, 0.000, 4.872]],
  "species": ["K", "Ag", "O", "F", "F"],
  "frac_coords": [[0.000, 0.000, 0.000], [0.500, 0.500, 0.500], [0.000, 0.000, 0.500], [0.000, 0.500, 0.000], [0.500, 0.000, 0.000]]
}

=====

(2)
{
  "formula": "KAgOF2",
  "functional": "PBE",
  "state": "relaxed",
  "crystal_system": "tetragonal",
  "polymorph_energy_mev_per_atom": 0,
  "lattice": [[4.522, 0.000, 0.000], [0.000, 4.522, 0.000], [0.000, 0.000, 3.992]],
  "species": ["K", "Ag", "O", "F", "F"],
  "frac_coords": [[0.000, 0.000, 0.000], [0.500, 0.500, 0.500], [0.500, 0.500, 0.000], [0.000, 0.500, 0.500], [0.500, 0.000, 0.500]]
}

=====

(3)
{
  "formula": "KAg2PF8",
  "functional": "PBE",
  "state": "relaxed",
  "crystal_system": "trigonal",
  "lattice": [[5.095, 0.000, 0.000], [-2.547, 4.412, 0.000], [0.000, 0.000, 8.095]],
  "species": ["K", "Ag", "Ag", "P", "F", "F", "F", "F", "F", "F", "F", "F"],
  "frac_coords": [[0.000, 0.000, 0.000], [0.333, 0.667, 0.217], [0.667, 0.333, 0.783], [0.000, 0.000, 0.500], [0.151, 0.302, 0.618], [0.151, 0.849, 0.618], [0.302, 0.151, 0.382], [0.333, 0.667, 0.950], [0.667, 0.333, 0.050], [0.698, 0.849, 0.618], [0.849, 0.151, 0.382], [0.849, 0.698, 0.382]]
}

=====

Number 1: ΔE_f (raw) -411.1 meV per atom, volume 22.5 Å³ per atom, total energy -2.941 eV/atom. Number 2: ΔE_f (raw) -1285.4 meV per atom, volume 16.3 Å³ per atom, total energy -3.815 eV/atom. Number 3: ΔE_f (raw) -1997.6 meV per atom, volume 15.2 Å³ per atom, total energy -4.263 eV/atom.